Entry 1:
The following is a DFT calculation (meta-GGA SCAN) of CaLa2Ir2 at its PBEsol-relaxed geometry.

Output
- formation energy (eV per atom) = -0.6561
- calculated volume (Å³ per cell) = 241.9
- raw total energy (eV/atom) = -48.270

Cell lengths 3.894, 7.882, 7.882 Å; angles 90.00, 90.00, 90.00 degrees
Sites, in units of the cell vectors:
Ir 0.000 0.639 0.139
La 0.500 0.157 0.657
La 0.500 0.657 0.843
La 0.500 0.343 0.157
La 0.500 0.843 0.343
Ir 0.000 0.361 0.861
Ca 0.000 0.000 0.000
Ir 0.000 0.861 0.639
Ir 0.000 0.139 0.361
Ca 0.000 0.500 0.500



Entry 2:
The following is a DFT calculation (meta-GGA SCAN) of CaLa2Ir at its PBEsol-relaxed geometry.

Output
- formation energy (eV per atom) = -0.4410
- calculated volume (Å³ per cell) = 116.1
- raw total energy (eV/atom) = -42.184
- ΔE to the lowest computed polymorph (meV per atom) = 99

Cell lengths 3.851, 5.660, 6.331 Å; angles 116.55, 107.71, 90.00 degrees
Sites, in units of the cell vectors:
La 0.311 0.311 0.623
Ir 0.000 0.500 0.000
Ca 0.500 0.000 0.000
La 0.689 0.689 0.377



What is the formation energy in the first record? -0.6561 eV per atom



The lowest raw total energy belongs to which entry? CaLa2Ir2



Look up the formation energy of the first one. -0.6561 eV per atom



calculated volume of number 2 (CaLa2Ir)? 116.1 Å³ per cell